Entry from the Alexandria database: an optimized crystal structure of NdInHg (PBE-GGA).

Properties
* formation energy: -476 meV per atom
* space-group type: Imm2
* E: -3.08 eV/atom

```
data_NdInHg
_chemical_formula_sum 'Nd2 In2 Hg2'
_cell_length_a 6.2517
_cell_length_b 6.2517
_cell_length_c 6.2517
_cell_angle_alpha 133.56
_cell_angle_beta 105.39
_cell_angle_gamma 92.60
_symmetry_space_group_name_H-M 'P 1'
_symmetry_Int_Tables_number 1
loop_
_symmetry_equiv_pos_as_xyz
'x,y,z'
loop_
_atom_site_label
_atom_site_type_symbol
_atom_site_fract_x
_atom_site_fract_y
_atom_site_fract_z
_atom_site_occupancy
Nd1 Nd 0.0000 0.0000 0.0000 1
Nd2 Nd 0.5134 0.0134 0.5000 1
In1 In 0.1203 0.3375 0.7828 1
In2 In 0.5547 0.3375 0.2172 1
Hg1 Hg 0.4569 0.6744 0.7825 1
Hg2 Hg 0.8919 0.6744 0.2175 1
```